(1)
Here is a relaxed structure of Sm2Ga5Co3 from Alexandria via LeMat-Bulk. Energies are from PBE.

Calculated formation energy: -487 meV per atom
E: -5.0763 eV/atom

a = 9.765 Å, b = 12.447 Å, c = 5.576 Å
α = 90.00°, β = 90.00°, γ = 90.00°
Space group Ibam (No. 72)
Asymmetric unit:
Sm 0.224 0.142 0.000 x8
Ga 0.000 0.000 0.250 x4
Ga 0.000 0.294 0.250 x8
Ga 0.175 0.414 0.000 x8
Co 0.000 0.500 0.250 x4
Co 0.088 0.148 0.500 x8

---

(2)
Here is a relaxed structure of SmGa7Co5 from Alexandria via LeMat-Bulk. Energies are from PBE.

E above lowest polymorph: 0.0 kJ/mol of atoms
Calculated formation energy: -334 meV per atom
E: -5.0597 eV/atom

a = 5.104 Å, b = 8.587 Å, c = 8.450 Å
α = 90.00°, β = 90.00°, γ = 90.00°
Space group Imm2 (No. 44)
Asymmetric unit:
Sm 0.000 0.000 0.000 x2
Ga 0.000 0.000 0.348 x2
Ga 0.000 0.000 0.664 x2
Ga 0.000 0.298 0.490 x4
Ga 0.000 0.342 0.027 x4
Ga 0.000 0.500 0.738 x2
Co 0.000 0.500 0.273 x2
Co 0.238 0.257 0.755 x8

---

(3)
Here is a relaxed structure of Sm4GaCo3 from Alexandria via LeMat-Bulk. Energies are from PBE.

Calculated formation energy: -216 meV per atom
E: -5.6189 eV/atom

a = 4.084 Å, b = 4.160 Å, c = 10.531 Å
α = 90.00°, β = 90.00°, γ = 90.00°
Space group Pmm2 (No. 25)
Asymmetric unit:
Sm 0.000 0.000 0.000 x1
Sm 0.000 0.500 0.279 x1
Sm 0.500 0.000 0.483 x1
Sm 0.500 0.500 0.773 x1
Ga 0.000 0.000 0.695 x1
Co 0.000 0.500 0.567 x1
Co 0.500 0.000 0.187 x1
Co 0.500 0.500 0.091 x1

---

(4)
Here is a relaxed structure of SmGa3Co from Alexandria via LeMat-Bulk. Energies are from PBE.

Calculated formation energy: -396 meV per atom
E: -4.5770 eV/atom

a = 4.558 Å, b = 4.558 Å, c = 4.558 Å
α = 90.00°, β = 90.00°, γ = 90.00°
Space group Pm-3m (No. 221)
Asymmetric unit:
Sm 0.000 0.000 0.000 x1
Ga 0.000 0.500 0.500 x3
Co 0.500 0.500 0.500 x1

---

(5)
Here is a relaxed structure of Sm3Ga6Co5 from Alexandria via LeMat-Bulk. Energies are from PBE.

Calculated formation energy: -389 meV per atom
E: -5.2351 eV/atom

a = 4.135 Å, b = 12.385 Å, c = 9.086 Å
α = 90.00°, β = 90.00°, γ = 90.00°
Space group Pmmn (No. 59, origin choice 2)
Asymmetric unit:
Sm 0.250 0.055 0.249 x4
Sm 0.250 0.750 0.265 x2
Ga 0.250 0.071 0.590 x4
Ga 0.250 0.250 0.032 x2
Ga 0.250 0.250 0.429 x2
Ga 0.250 0.600 0.984 x4
Co 0.250 0.089 0.869 x4
Co 0.250 0.643 0.545 x4
Co 0.250 0.750 0.777 x2

---

(6)
Here is a relaxed structure of Sm2Ga12Co from Alexandria via LeMat-Bulk. Energies are from PBE.

Calculated formation energy: -375 meV per atom
E: -3.8998 eV/atom

a = 6.014 Å, b = 6.014 Å, c = 15.560 Å
α = 90.00°, β = 90.00°, γ = 90.00°
Space group P4/nbm (No. 125, origin choice 2)
Asymmetric unit:
Sm 0.250 0.750 0.238 x4
Ga 0.000 0.000 0.083 x8
Ga 0.082 0.582 0.431 x8
Ga 0.250 0.250 0.186 x4
Ga 0.250 0.250 0.344 x4
Co 0.250 0.750 0.000 x2

---

(7)
Here is a relaxed structure of Sm3GaCo8 from Alexandria via LeMat-Bulk. Energies are from PBE.

Calculated formation energy: -101 meV per atom
E: -6.2703 eV/atom

a = 5.0346 Å, b = 5.0346 Å, c = 24.7226 Å
α = 90.00°, β = 90.00°, γ = 120.00°
Space group R3m (No. 160, hexagonal axes)
Asymmetric unit:
Sm 0.0000 0.0000 0.0000 x3
Sm 0.0000 0.0000 0.1279 x3
Sm 0.0000 0.0000 0.5096 x3
Ga 0.0000 0.0000 0.6322 x3
Co 0.0000 0.0000 0.3147 x3
Co 0.0000 0.0000 0.8154 x3
Co 0.0035 0.5017 0.5686 x9
Co 0.1689 0.3379 0.3963 x9

---

(8)
Here is a relaxed structure of Sm6GaCo2 from Alexandria via LeMat-Bulk. Energies are from PBE.

Calculated formation energy: -219 meV per atom
E: -5.2808 eV/atom

a = 9.435 Å, b = 9.801 Å, c = 10.047 Å
α = 90.00°, β = 90.00°, γ = 90.00°
Space group Immm (No. 71)
Asymmetric unit:
Sm 0.000 0.196 0.238 x8
Sm 0.187 0.500 0.174 x8
Sm 0.219 0.320 0.500 x8
Ga 0.000 0.000 0.000 x2
Ga 0.000 0.000 0.500 x2
Co 0.000 0.335 0.000 x4
Co 0.000 0.500 0.387 x4

---

(9)
Here is a relaxed structure of Sm4GaCo from Alexandria via LeMat-Bulk. Energies are from PBE.

Calculated formation energy: -222 meV per atom
E: -5.0573 eV/atom

a = 8.786 Å, b = 13.728 Å, c = 6.077 Å
α = 90.00°, β = 118.67°, γ = 90.00°
Space group C2/c (No. 15)
Asymmetric unit:
Sm 0.120 0.183 0.086 x8
Sm 0.221 0.436 0.319 x8
Ga 0.000 0.373 0.750 x4
Co 0.000 0.001 0.250 x4

---

(10)
Here is a relaxed structure of SmGa3Co3 from Alexandria via LeMat-Bulk. Energies are from PBE.

Calculated formation energy: 161 meV per atom
E: -4.8554 eV/atom

a = 6.401 Å, b = 6.401 Å, c = 6.401 Å
α = 90.00°, β = 90.00°, γ = 90.00°
Space group Pm-3n (No. 223)
Asymmetric unit:
Sm 0.000 0.000 0.000 x2
Ga 0.000 0.250 0.500 x6
Co 0.000 0.500 0.250 x6

---

(11)
Here is a relaxed structure of SmGa7Co5 from Alexandria via LeMat-Bulk. Energies are from PBE.

E above lowest polymorph: 21.3 kJ/mol of atoms
Calculated formation energy: -113 meV per atom
E: -4.8386 eV/atom

a = 4.958 Å, b = 8.373 Å, c = 9.249 Å
α = 90.00°, β = 90.00°, γ = 90.00°
Space group Imm2 (No. 44)
Asymmetric unit:
Sm 0.000 0.000 0.000 x2
Ga 0.000 0.255 0.512 x4
Ga 0.000 0.500 0.204 x2
Ga 0.249 0.261 0.760 x8
Co 0.000 0.000 0.357 x2
Co 0.000 0.000 0.652 x2
Co 0.000 0.354 0.975 x4
Co 0.000 0.500 0.697 x2

---

(12)
Here is a relaxed structure of Sm2Ga2Co15 from Alexandria via LeMat-Bulk. Energies are from PBE.

Calculated formation energy: -99 meV per atom
E: -6.5248 eV/atom

a = 8.4105 Å, b = 8.4105 Å, c = 12.2593 Å
α = 90.00°, β = 90.00°, γ = 120.00°
Space group R-3m (No. 166, hexagonal axes)
Asymmetric unit:
Sm 0.0000 0.0000 0.1491 x6
Ga 0.0000 0.0000 0.3937 x6
Co 0.0000 0.2871 0.5000 x18
Co 0.0000 0.5000 0.0000 x9
Co 0.0001 0.5001 0.3494 x18